## SiW2IF (meta-GGA SCAN)

Data for a crystal of SiW2IF relaxed with PBEsol.

Cell lengths 4.1131, 4.1131, 5.2479 Å; angles 90.00, 90.00, 90.00 degrees
With the nearest neighbours (Å) after each atom.
Fractional coordinates of all 5 atoms:
W 0.5000 0.0000 0.0000  2 F 2.06
W 0.0000 0.5000 0.0000  2 F 2.06
Si 0.5000 0.5000 0.5000  4 I 2.91
F 0.0000 0.0000 0.0000  4 W 2.06
I 0.0000 0.0000 0.5000  2 F 2.62, 4 Si 2.91

Calculated values
- formation energy without anion corrections (kJ per mole of atoms) = 160
- DFT total energy (eV/atom) = -36.28

## Ti2FeB2 (meta-GGA SCAN)

Data for a crystal of Ti2FeB2 relaxed with PBEsol.

Cell lengths 3.1563, 5.6355, 5.6355 Å; angles 90.00, 90.00, 90.00 degrees
With the nearest neighbours (Å) after each atom.
Fractional coordinates of all 10 atoms:
Ti 0.5000 0.8204 0.3204  6 B 2.29-2.31
Ti 0.5000 0.1796 0.6796  6 B 2.29-2.31
Ti 0.5000 0.6796 0.8204  6 B 2.29-2.31
Ti 0.5000 0.3204 0.1796  6 B 2.29-2.31
B 0.0000 0.6128 0.1128  1 B 1.80
B 0.0000 0.1128 0.3872  1 B 1.80
B 0.0000 0.8872 0.6128  1 B 1.80
B 0.0000 0.3872 0.8872  1 B 1.80
Fe 0.0000 0.0000 0.0000  4 B 2.27
Fe 0.0000 0.5000 0.5000  4 B 2.27

Calculated values
- DFT total energy (eV/atom) = -13.79

## CrAgBr2 (meta-GGA SCAN)

Data for a crystal of CrAgBr2 relaxed with PBEsol.

Cell lengths 3.7369, 5.1611, 5.1611 Å; angles 90.12, 73.46, 73.46 degrees
With the nearest neighbours (Å) after each atom.
Fractional coordinates of all 4 atoms:
Br 0.0000 0.5000 0.0000  2 Cr 2.72, 2 Ag 2.72
Br 0.0000 0.0000 0.5000  2 Ag 2.72, 2 Cr 2.72
Ag 0.5000 0.0000 0.0000  4 Br 2.72
Cr 0.5000 0.5000 0.5000  4 Br 2.72

Calculated values
- formation energy without anion corrections (kJ per mole of atoms) = -22
- DFT total energy (eV/atom) = -22.40
- excess energy over the best structure of this formula in the dataset (meV/atom) = 54

## Sc2Cu2Ag (meta-GGA SCAN)

Data for a crystal of Sc2Cu2Ag relaxed with PBEsol.

Cell lengths 3.3607, 7.0529, 7.0529 Å; angles 90.00, 90.00, 90.00 degrees
With the nearest neighbours (Å) after each atom.
Fractional coordinates of all 10 atoms:
Cu 0.0000 0.6238 0.1238  1 Cu 2.47, 6 Sc 2.64-2.70
Cu 0.0000 0.3762 0.8762  1 Cu 2.47, 6 Sc 2.64-2.70
Cu 0.0000 0.8762 0.6238  1 Cu 2.47, 6 Sc 2.64-2.70
Cu 0.0000 0.1238 0.3762  1 Cu 2.47, 6 Sc 2.64-2.70
Sc 0.5000 0.1725 0.6725  6 Cu 2.64-2.70
Sc 0.5000 0.8275 0.3275  6 Cu 2.64-2.70
Sc 0.5000 0.6725 0.8275  6 Cu 2.64-2.70
Sc 0.5000 0.3275 0.1725  6 Cu 2.64-2.70
Ag 0.0000 0.0000 0.0000  4 Cu 2.79, 8 Sc 3.10
Ag 0.0000 0.5000 0.5000  4 Cu 2.79, 8 Sc 3.10

Calculated values
- DFT total energy (eV/atom) = -18.36

## KTh2Se6 (meta-GGA SCAN)

Data for a crystal of KTh2Se6 relaxed with PBEsol.

Cell lengths 4.1893, 5.5267, 11.4488 Å; angles 103.97, 100.54, 90.00 degrees
With the nearest neighbours (Å) after each atom.
Fractional coordinates of all 9 atoms:
Se 0.6036 0.8508 0.2071  2 Se 2.73-2.79, 2 Th 2.98
Se 0.2268 0.2268 0.4535  4 Th 2.96
Se 0.3964 0.6437 0.7929  2 Se 2.73-2.79, 2 Th 2.98
Se 0.7732 0.7732 0.5465  4 Th 2.96
Se 0.3964 0.1492 0.7929  2 Se 2.73-2.79, 2 Th 2.98
Se 0.6036 0.3563 0.2071  2 Se 2.73-2.79, 2 Th 2.98
Th 0.1776 0.6776 0.3551  8 Se 2.96-2.98
Th 0.8224 0.3224 0.6449  8 Se 2.96-2.98
K 0.0000 0.0000 0.0000  8 Se 3.38

Calculated values
- formation energy without anion corrections (kJ per mole of atoms) = -157
- DFT total energy (eV/atom) = -37.25

## AlW2Se (meta-GGA SCAN)

Data for a crystal of AlW2Se relaxed with PBEsol.

Cell lengths 3.0922, 4.6098, 4.7493 Å; angles 105.96, 109.00, 90.00 degrees
With the nearest neighbours (Å) after each atom.
Fractional coordinates of all 4 atoms:
Al 0.4967 0.4640 0.9934  7 W 2.61-2.78, 2 Se 2.79
W 0.9989 0.9662 0.9979  3 Se 2.63-2.69, 4 Al 2.77-2.78, 2 W 2.81
W 0.7516 0.3018 0.5031  3 Al 2.61-2.62, 4 Se 2.64-2.91, 2 W 2.81
Se 0.2528 0.7680 0.5056  7 W 2.63-2.91, 3 Al 2.79-2.92

Calculated values
- formation energy without anion corrections (kJ per mole of atoms) = 34
- DFT total energy (eV/atom) = -41.45
- excess energy over the best structure of this formula in the dataset (meV/atom) = 103

## LiSiW2 (meta-GGA SCAN)

Data for a crystal of LiSiW2 relaxed with PBEsol.

Cell lengths 5.2334, 5.3955, 5.3955 Å; angles 76.40, 60.99, 60.99 degrees
With the nearest neighbours (Å) after each atom.
Fractional coordinates of all 8 atoms:
W 0.8750 0.4915 0.0085  2 Si 2.41, 2 Li 2.49, 2 W 2.62
W 0.3750 0.5085 0.9915  2 Si 2.41, 2 Li 2.49, 2 W 2.62
W 0.6335 0.9915 0.4915  2 Si 2.41, 2 Li 2.49, 2 W 2.62
W 0.1165 0.0085 0.5085  2 Si 2.41, 2 Li 2.49, 2 W 2.62
Li 0.2500 0.5000 0.5000  4 W 2.49, 2 Si 2.62
Li 0.5000 0.0000 0.0000  4 W 2.49, 2 Si 2.62
Si 0.0000 0.0000 0.0000  4 W 2.41, 2 Li 2.62
Si 0.7500 0.5000 0.5000  4 W 2.41, 2 Li 2.62

Calculated values
- formation energy without anion corrections (kJ per mole of atoms) = 71
- DFT total energy (eV/atom) = -37.21

## TcTe3 (meta-GGA SCAN)

Data for a crystal of TcTe3 relaxed with PBEsol.

Cell lengths 3.3177, 3.3177, 10.5360 Å; angles 80.94, 80.94, 60.00 degrees
With the nearest neighbours (Å) after each atom.
Fractional coordinates of all 4 atoms:
Tc 0.0000 0.0000 0.0000  6 Te 2.69
Te 0.7276 0.7276 0.8173  3 Tc 2.69
Te 0.2724 0.2724 0.1827  3 Tc 2.69
Te 0.5000 0.5000 0.5000  6 Te 3.32

Calculated values
- formation energy without anion corrections (kJ per mole of atoms) = 10
- DFT total energy (eV/atom) = -36.59
- excess energy over the best structure of this formula in the dataset (meV/atom) = 0

## NaCa2Pb2 (meta-GGA SCAN)

Data for a crystal of NaCa2Pb2 relaxed with PBEsol.

Cell lengths 4.5579, 4.5579, 9.1822 Å; angles 104.37, 104.37, 90.00 degrees
With the nearest neighbours (Å) after each atom.
Fractional coordinates of all 5 atoms:
Ca 0.3868 0.3868 0.7737  4 Pb 3.28
Ca 0.6132 0.6132 0.2263  4 Pb 3.28
Pb 0.7500 0.2500 0.5000  4 Pb 3.22, 4 Ca 3.28
Pb 0.2500 0.7500 0.5000  4 Pb 3.22, 4 Ca 3.28
Na 0.0000 0.0000 0.0000  8 Ca 3.76

Calculated values
- DFT total energy (eV/atom) = -35.20
- excess energy over the best structure of this formula in the dataset (meV/atom) = 356

## CaZnW2 (meta-GGA SCAN)

Data for a crystal of CaZnW2 relaxed with PBEsol.

Cell lengths 2.7263, 5.0082, 5.1127 Å; angles 90.00, 94.32, 90.00 degrees
With the nearest neighbours (Å) after each atom.
Fractional coordinates of all 4 atoms:
Ca 0.0000 0.5000 0.5000  2 Ca 2.73, 4 Zn 2.80-2.99, 4 W 2.99
W 0.6625 0.0000 0.7500  4 W 2.64-2.77, 2 Zn 2.86
W 0.3375 0.0000 0.2500  4 W 2.64-2.77, 2 Zn 2.86
Zn 0.5000 0.5000 0.0000  2 Zn 2.73, 4 Ca 2.80-2.99, 4 W 2.86

Calculated values
- DFT total energy (eV/atom) = -39.93

## MgNi3P4O14 (meta-GGA SCAN)

Data for a crystal of MgNi3P4O14 relaxed with PBEsol.

Cell lengths 7.1193, 7.3177, 9.4433 Å; angles 90.00, 112.94, 90.00 degrees
With the nearest neighbours (Å) after each atom.
Fractional coordinates of all 44 atoms:
Ni 0.0000 0.0000 0.0000  6 O 1.99-2.12
Ni 0.1812 0.3687 0.0195  6 O 1.99-2.22
Ni 0.1812 0.1313 0.5195  6 O 1.99-2.22
Ni 0.0000 0.5000 0.5000  6 O 1.99-2.12
Ni 0.8188 0.8687 0.4805  6 O 1.99-2.22
Ni 0.8188 0.6313 0.9805  6 O 1.99-2.22
O 0.9756 0.2876 0.3615  1 P 1.53
O 0.1936 0.6161 0.4014  1 P 1.53
O 0.0221 0.5775 0.8863  1 P 1.53
O 0.6217 0.7664 0.5969  1 P 1.53
O 0.1936 0.8839 0.9014  1 P 1.53
O 0.7153 0.6219 0.3733  1 P 1.56
O 0.2847 0.3781 0.6267  1 P 1.56
O 0.6328 0.4544 0.8224  1 P 1.51
O 0.6588 0.1038 0.6590  2 P 1.59-1.60
O 0.9779 0.0775 0.6137  1 P 1.53
O 0.8064 0.3839 0.5986  1 P 1.53
O 0.0244 0.7124 0.6385  1 P 1.53
O 0.0221 0.9225 0.3863  1 P 1.53
O 0.3412 0.8962 0.3410  2 P 1.59-1.60
O 0.9756 0.2124 0.8615  1 P 1.53
O 0.0244 0.7876 0.1385  1 P 1.53
O 0.3672 0.9544 0.6776  1 P 1.51
O 0.6588 0.3962 0.1590  2 P 1.59-1.60
O 0.3412 0.6038 0.8410  2 P 1.59-1.60
O 0.3783 0.2336 0.4031  1 P 1.53
O 0.6328 0.0456 0.3224  1 P 1.51
O 0.8064 0.1161 0.0986  1 P 1.53
O 0.7153 0.8781 0.8733  1 P 1.56
O 0.2847 0.1219 0.1267  1 P 1.56
O 0.6217 0.7336 0.0969  1 P 1.53
O 0.3783 0.2664 0.9031  1 P 1.53
O 0.9779 0.4225 0.1137  1 P 1.53
O 0.3672 0.5456 0.1776  1 P 1.51
Mg 0.5000 0.5000 0.5000  4 O 2.18
Mg 0.5000 0.0000 0.0000  4 O 2.18
P 0.5841 0.9115 0.6989  4 O 1.51-1.60
P 0.8684 0.2036 0.6861  4 O 1.53-1.59
P 0.8684 0.2964 0.1861  4 O 1.53-1.59
P 0.4159 0.4115 0.8011  4 O 1.51-1.60
P 0.4159 0.0885 0.3011  4 O 1.51-1.60
P 0.1316 0.7964 0.3139  4 O 1.53-1.59
P 0.5841 0.5885 0.1989  4 O 1.51-1.60
P 0.1316 0.7036 0.8139  4 O 1.53-1.59

Calculated values
- formation energy without anion corrections (kJ per mole of atoms) = -217
- DFT total energy (eV/atom) = -10.54

## TaIrOs (meta-GGA SCAN)

Data for a crystal of TaIrOs relaxed with PBEsol.

Cell lengths 2.7562, 3.8981, 4.8584 Å; angles 113.65, 106.48, 90.00 degrees
With the nearest neighbours (Å) after each atom.
Fractional coordinates of all 3 atoms:
Ta 0.3324 0.3324 0.6649  2 Ta 2.76, 5 Ir 2.77-2.80, 5 Os 2.79
Os 0.6625 0.6625 0.3251  5 Ir 2.73-2.90, 2 Os 2.76, 5 Ta 2.79
Ir 0.0050 0.0050 0.0100  5 Os 2.73-2.90, 2 Ir 2.76, 5 Ta 2.77-2.80

Calculated values
- DFT total energy (eV/atom) = -70.12
- excess energy over the best structure of this formula in the dataset (meV/atom) = 0